No. 1
The following is a DFT calculation (GGA-PBE) of an optimized crystal structure of MnRhS2N.

abc: 4.884 4.884 3.623
angles: 90.00 90.00 90.00
Space group P4/mmm (No. 123)
Asymmetric unit:
Mn1 0.000 0.000 0.000 x1
Rh1 0.500 0.500 0.500 x1
S1 0.000 0.500 0.500 x2
N1 0.500 0.500 0.000 x1

The total DFT energy (no corrections) is -30.67 eV per cell. As for the density of states at the Fermi level: 2.1 states/eV per cell. Its raw formation energy is 0.487 eV/atom. The energy relative to the lowest polymorph listed for this composition comes out at 3.7 kJ per mole of atoms.

***

No. 2
The following is a DFT calculation (GGA-PBE) of an optimized crystal structure of MnRhSeN2.

abc: 3.796 3.796 5.541
angles: 90.00 90.00 90.00
Space group P4/mmm (No. 123)
Asymmetric unit:
Mn1 0.000 0.000 0.000 x1
Rh1 0.500 0.500 0.500 x1
Se1 0.500 0.500 0.000 x1
N1 0.000 0.500 0.500 x2

The total DFT energy (no corrections) is -31.96 eV per cell. As for the density of states at the Fermi level: 3.7 states/eV per cell. Its raw formation energy is 0.940 eV/atom. The energy relative to the lowest polymorph listed for this composition comes out at 22.0 kJ per mole of atoms.

***

- What is the formula in the second record?
  MnRhSeN2